# 1
## LaTcMo2 (GGA-PBE)

Data for a geometry-optimized LaTcMo2 structure.

Output
* DFT total energy: -34.083 eV for the cell shown
* density of states at the Fermi level: 3.8 states/eV per cell

a b c (Å): 5.1578 3.8235 3.8235
angles (deg): 90.00 90.00 90.00
Last column: nearest neighbours and their distance in Å.
Fractional coordinates of all 4 atoms:
Mo (0.0000, 0.5000, 0.5000)  4 Mo 2.70
Mo (0.0000, 0.0000, 0.0000)  4 Mo 2.70
Tc (0.5000, 0.5000, 0.0000)  4 La 2.70
La (0.5000, 0.0000, 0.5000)  4 Tc 2.70

***

# 2
## LaTcMo2 (GGA-PBE)

Data for a geometry-optimized LaTcMo2 structure.

Output
* DFT total energy: -34.339 eV for the cell shown
* density of states at the Fermi level: 4.4 states/eV per cell

a b c (Å): 4.7407 4.7407 3.2349
angles (deg): 90.00 90.00 90.00
Last column: nearest neighbours and their distance in Å.
Fractional coordinates of all 4 atoms:
Mo (0.5000, 0.5000, 0.0000)  4 Tc 2.87, 4 La 2.87
Mo (0.0000, 0.0000, 0.0000)  4 La 2.87, 4 Tc 2.87
Tc (0.5000, 0.0000, 0.5000)  8 Mo 2.87
La (0.0000, 0.5000, 0.5000)  8 Mo 2.87

***

# 3
## LaTcMo2 (GGA-PBE)

Data for a geometry-optimized LaTcMo2 structure.

Output
* DFT total energy: -35.148 eV for the cell shown
* density of states at the Fermi level: 2.9 states/eV per cell

a b c (Å): 4.6585 4.6585 4.6585
angles (deg): 60.00 60.00 60.00
Last column: nearest neighbours and their distance in Å.
Fractional coordinates of all 4 atoms:
Mo (0.7500, 0.7500, 0.7500)  4 La 2.85, 4 Tc 2.85
Mo (0.2500, 0.2500, 0.2500)  4 La 2.85, 4 Tc 2.85
La (0.5000, 0.5000, 0.5000)  8 Mo 2.85
Tc (0.0000, 0.0000, 0.0000)  8 Mo 2.85

***

# 4
## LaTcMo2 (GGA-PBE)

Data for a geometry-optimized LaTcMo2 structure.

Output
* DFT total energy: -35.318 eV for the cell shown
* density of states at the Fermi level: 3.3 states/eV per cell

a b c (Å): 4.2297 2.9779 6.3702
angles (deg): 81.75 90.00 90.00
Last column: nearest neighbours and their distance in Å.
Fractional coordinates of all 4 atoms:
La (0.5000, 0.7511, 0.7438)  2 La 2.98, 2 Tc 3.04, 3 Mo 3.11-3.26
Mo (0.0000, 0.9832, 0.0704)  1 Tc 2.51, 2 Mo 2.59
Mo (0.5000, 0.2437, 0.2534)  2 Mo 2.59, 2 Tc 2.59
Tc (0.0000, 0.5219, 0.4324)  3 Mo 2.51-2.59

***

# 5
## LaTc2Mo (GGA-PBE)

Data for a geometry-optimized LaTc2Mo structure.

Output
* DFT total energy: -34.034 eV for the cell shown
* density of states at the Fermi level: 5.4 states/eV per cell

a b c (Å): 3.2173 4.7998 4.6812
angles (deg): 90.00 90.00 90.00
Last column: nearest neighbours and their distance in Å.
Fractional coordinates of all 4 atoms:
Tc (0.0000, 0.0000, 0.0000)  4 La 2.84, 4 Tc 2.89
Tc (0.5000, 0.5000, 0.0000)  4 Mo 2.84, 4 Tc 2.89
La (0.5000, 0.0000, 0.5000)  4 Tc 2.84, 4 Mo 2.89
Mo (0.0000, 0.5000, 0.5000)  4 Tc 2.84, 4 La 2.89

***

# 6
## La2TcMo2 (GGA-PBE)

Data for a geometry-optimized La2TcMo2 structure.

Output
* DFT total energy: -80.428 eV for the cell shown
* density of states at the Fermi level: 13.3 states/eV per cell

a b c (Å): 6.5732 6.5732 5.2737
angles (deg): 90.00 90.00 90.00
Last column: nearest neighbours and their distance in Å.
Fractional coordinates of all 10 atoms:
La (0.8216, 0.3216, 0.5000)  6 Mo 3.16-3.36, 5 La 3.32-3.42
La (0.3216, 0.1784, 0.5000)  6 Mo 3.16-3.36, 5 La 3.32-3.42
La (0.6784, 0.8216, 0.5000)  6 Mo 3.16-3.36, 5 La 3.32-3.42
La (0.1784, 0.6784, 0.5000)  6 Mo 3.16-3.36, 5 La 3.32-3.42
Mo (0.3653, 0.8653, 0.0000)  1 Mo 2.50, 2 Tc 2.56
Mo (0.1347, 0.3653, 0.0000)  1 Mo 2.50, 2 Tc 2.56
Mo (0.6347, 0.1347, 0.0000)  1 Mo 2.50, 2 Tc 2.56
Mo (0.8653, 0.6347, 0.0000)  1 Mo 2.50, 2 Tc 2.56
Tc (0.0000, 0.0000, 0.0000)  4 Mo 2.56
Tc (0.5000, 0.5000, 0.0000)  4 Mo 2.56

***

# 7
## LaTc2Mo (GGA-PBE)

Data for a geometry-optimized LaTc2Mo structure.

Output
* DFT total energy: -33.809 eV for the cell shown
* density of states at the Fermi level: 4.0 states/eV per cell

a b c (Å): 2.9661 5.1558 5.2818
angles (deg): 64.43 90.00 90.00
Last column: nearest neighbours and their distance in Å.
Fractional coordinates of all 4 atoms:
La (0.5000, 0.0000, 0.5000)  2 Tc 2.58
Tc (0.0000, 0.0000, 0.0000)  2 Mo 2.58
Tc (0.5000, 0.5000, 0.5000)  2 La 2.58
Mo (0.0000, 0.5000, 0.0000)  2 Tc 2.58

***

# 8
## LaTcMo (GGA-PBE)

Data for a geometry-optimized LaTcMo structure.

Output
* DFT total energy: -24.475 eV for the cell shown
* density of states at the Fermi level: 3.5 states/eV per cell

a b c (Å): 4.5921 4.5921 3.1325
angles (deg): 90.00 90.00 120.00
Last column: nearest neighbours and their distance in Å.
Fractional coordinates of all 3 atoms:
Mo (0.6667, 0.3333, 0.3276)  3 La 2.84, 3 Tc 2.86, 2 Mo 3.13
La (0.0000, 0.0000, 0.0056)  3 Mo 2.84, 3 Tc 2.86, 2 La 3.13
Tc (0.3333, 0.6667, 0.6668)  3 La 2.86, 3 Mo 2.86, 2 Tc 3.13

***

# 9
## La2TcMo (GGA-PBE)

Data for a geometry-optimized La2TcMo structure.

Output
* DFT total energy: -28.994 eV for the cell shown
* density of states at the Fermi level: 5.3 states/eV per cell

a b c (Å): 4.9595 4.9595 4.9595
angles (deg): 60.00 60.00 60.00
Last column: nearest neighbours and their distance in Å.
Fractional coordinates of all 4 atoms:
Mo (0.5000, 0.5000, 0.5000)  4 La 3.04, 4 Tc 3.04
Tc (0.2500, 0.2500, 0.2500)  4 La 3.04, 4 Mo 3.04
La (0.7500, 0.7500, 0.7500)  4 Mo 3.04, 4 La 3.04
La (0.0000, 0.0000, 0.0000)  4 La 3.04, 4 Tc 3.04

***

# 10
## LaTcMo2 (GGA-PBE)

Data for a geometry-optimized LaTcMo2 structure.

Output
* DFT total energy: -35.374 eV for the cell shown
* density of states at the Fermi level: 3.3 states/eV per cell

a b c (Å): 2.8899 2.8899 9.4958
angles (deg): 90.00 90.00 112.42
Last column: nearest neighbours and their distance in Å.
Fractional coordinates of all 4 atoms:
Mo (0.5000, 0.5000, 0.2531)  2 Tc 2.61, 6 Mo 2.63-2.89
Mo (0.0000, 0.0000, 0.0336)  6 Mo 2.63-2.89
Tc (0.0000, 0.0000, 0.4699)  2 Mo 2.61, 4 Tc 2.89
La (0.5000, 0.5000, 0.7435)  6 La 2.89-3.21, 2 Tc 3.06, 2 Mo 3.19

***

# 11
## LaTcMo4 (GGA-PBE)

Data for a geometry-optimized LaTcMo4 structure.

Output
* DFT total energy: -55.620 eV for the cell shown
* density of states at the Fermi level: 7.2 states/eV per cell

a b c (Å): 5.3982 5.3982 5.3982
angles (deg): 60.00 60.00 60.00
Last column: nearest neighbours and their distance in Å.
Fractional coordinates of all 6 atoms:
Tc (0.7500, 0.7500, 0.7500)  12 Mo 3.16, 4 La 3.31
Mo (0.8748, 0.3751, 0.3751)  6 Mo 2.70
Mo (0.3751, 0.3751, 0.8748)  6 Mo 2.70
Mo (0.3751, 0.8748, 0.3751)  6 Mo 2.70
Mo (0.3751, 0.3751, 0.3751)  6 Mo 2.70
La (0.0000, 0.0000, 0.0000)  12 Mo 3.17, 4 Tc 3.31

***

# 12
## La2TcMo (GGA-PBE)

Data for a geometry-optimized La2TcMo structure.

Output
* DFT total energy: -28.571 eV for the cell shown
* density of states at the Fermi level: 5.9 states/eV per cell

a b c (Å): 5.9251 5.9251 5.9251
angles (deg): 139.03 139.03 59.33
Last column: nearest neighbours and their distance in Å.
Fractional coordinates of all 4 atoms:
La (0.2500, 0.7500, 0.5000)  4 Tc 2.93
La (0.0000, 0.0000, 0.0000)  4 Mo 2.93
Mo (0.5000, 0.5000, 0.0000)  4 La 2.93
Tc (0.7500, 0.2500, 0.5000)  4 La 2.93

***

What is the formula in the twelfth record?
La2TcMo

***

What is the DFT total energy in the eleventh record?
-55.620 eV for the cell shown